# 1
9
Lattice="-2.512 0.142 -3.273 4.060 -5.965 -0.773 -4.267 -0.434 3.257" Properties=species:S:1:pos:R:3 comment="Na2I2O5 (PBE, optimized geometry)" dos_at_fermi_per_ev_fu=1.431 space_group="C2/m, No. 12" energy_ev_per_atom=-4.0376 pbc="T T T"
Na -0.793 -4.698 0.404
Na -1.926 -1.558 -1.193
I -2.826 -1.613 2.099
I 0.107 -4.644 -2.888
O 1.373 -4.947 -1.269
O -4.092 -1.309 0.480
O -1.506 -2.472 1.049
O -1.213 -3.784 -1.837
O 0.000 0.000 0.000

***

# 2
11
Lattice="6.395 0.105 -0.481 0.721 5.976 -0.780 0.024 -0.105 6.413" Properties=species:S:1:pos:R:3 comment="Ba2Ag2F7 (PBE, optimized geometry)" dos_at_fermi_per_ev_fu=5.087 space_group="C2/m, No. 12" energy_ev_per_atom=-4.5734 pbc="T T T"
Ba 2.087 3.021 4.181
Ba 5.054 2.955 0.971
Ag 4.599 0.000 4.250
Ag 1.821 0.000 1.683
F 6.578 4.591 2.476
F 3.433 4.591 -0.431
F 3.596 1.404 2.548
F 0.360 2.988 -0.390
F 3.545 4.572 2.603
F 3.707 1.385 5.582
F 0.562 1.385 2.676

***

# 3
12
Lattice="4.997 -0.020 0.000 -1.951 4.601 0.000 0.000 0.000 6.665" Properties=species:S:1:pos:R:3 comment="MgSeO4 (PBE, optimized geometry)" dos_at_fermi_per_ev_fu=0.000 space_group="Cmcm, No. 63" energy_ev_per_atom=-5.5567 pbc="T T T"
Mg 0.000 0.000 0.000
Mg 0.000 0.000 3.332
O -0.265 3.480 0.280
O 3.312 1.101 3.612
O -0.265 3.480 3.053
O 3.312 1.101 6.385
O 0.555 1.290 1.666
O 2.491 3.290 4.999
O 2.071 3.569 1.666
O 0.975 1.011 4.999
Se 0.478 2.986 1.666
Se 2.568 1.595 4.999

***

# 4
9
Lattice="5.566 0.000 0.000 2.783 4.820 0.000 0.000 0.000 4.860" Properties=species:S:1:pos:R:3 comment="YRuPbO6 (PBE, optimized geometry)" dos_at_fermi_per_ev_fu=4.045 space_group="P312, No. 149" energy_ev_per_atom=-6.9831 pbc="T T T"
Y 5.566 3.213 2.430
Ru 2.783 1.607 2.430
Pb 5.566 0.000 4.860
O 1.192 1.670 1.327
O 2.042 0.197 3.532
O 4.374 1.670 3.532
O 1.933 2.953 3.532
O 3.633 2.953 1.327
O 3.524 0.198 1.328

***

# 5
4
Lattice="-0.766 9.949 -0.746 -3.599 9.031 -2.370 -3.590 9.286 1.012" Properties=species:S:1:pos:R:3 comment="Sb2RuPb (PBE, optimized geometry)" dos_at_fermi_per_ev_fu=3.490 space_group="R-3m, No. 166" energy_ev_per_atom=-5.2561 pbc="T T T"
Pb -1.989 7.067 -0.526
Ru -5.966 21.200 -1.578
Sb -0.156 0.555 -0.041
Sb -3.821 13.578 -1.011

***

# 6
8
Lattice="4.435 0.000 0.000 0.000 4.435 0.000 0.000 0.000 9.661" Properties=species:S:1:pos:R:3 comment="TbCeCoGe (PBE, optimized geometry)" delta_e_f_mev_per_atom=-251 dos_at_fermi_per_ev_fu=4.918 space_group="P4/nmm, No. 129" energy_ev_per_atom=-5.8228 pbc="T T T"
Tb 0.000 2.217 8.173
Tb 2.217 0.000 1.488
Ce 0.000 0.000 4.831
Ce 2.217 2.217 4.831
Co 0.000 2.217 3.596
Co 2.217 0.000 6.065
Ge 2.217 0.000 8.322
Ge 0.000 2.217 1.339